(1)
DFT (PBE) results for an optimized crystal structure of Al2IrRu2.

a = 3.4341 Å, b = 3.4341 Å, c = 13.4157 Å
α = 90.00°, β = 90.00°, γ = 90.00°
Positions (direct):
Al 0.0000 0.0000 0.0982
Al 0.0000 0.0000 0.9018
Al 0.5000 0.5000 0.4018
Al 0.5000 0.5000 0.5982
Ir 0.0000 0.0000 0.5000
Ir 0.5000 0.5000 0.0000
Ru 0.0000 0.5000 0.2500
Ru 0.0000 0.5000 0.7500
Ru 0.5000 0.0000 0.2500
Ru 0.5000 0.0000 0.7500

Calculated values
* M_tot: 0.00 Bohr magnetons per cell
* density: 9.411 g/cm3
* uncorrected energy: -6.775 eV/atom
* E above lowest polymorph: 0.492 eV/atom

(2)
DFT (PBE) results for an optimized crystal structure of Sc5Al2Ir2Ru.

a = 11.0586 Å, b = 11.0586 Å, c = 3.1996 Å
α = 90.00°, β = 90.00°, γ = 90.00°
Positions (direct):
Sc 0.0000 0.5000 0.0000
Sc 0.0576 0.1920 0.0000
Sc 0.1920 0.9424 0.0000
Sc 0.3080 0.4424 0.0000
Sc 0.4424 0.6920 0.0000
Sc 0.5000 0.0000 0.0000
Sc 0.5576 0.3080 0.0000
Sc 0.6920 0.5576 0.0000
Sc 0.8080 0.0576 0.0000
Sc 0.9424 0.8080 0.0000
Al 0.1834 0.6834 0.5000
Al 0.3166 0.1834 0.5000
Al 0.6834 0.8166 0.5000
Al 0.8166 0.3166 0.5000
Ir 0.1393 0.3607 0.5000
Ir 0.3607 0.8607 0.5000
Ir 0.6393 0.1393 0.5000
Ir 0.8607 0.6393 0.5000
Ru 0.0000 0.0000 0.5000
Ru 0.5000 0.5000 0.5000

Calculated values
* M_tot: 0.00 Bohr magnetons per cell
* density: 6.487 g/cm3
* uncorrected energy: -7.154 eV/atom